1.
First-principles (PBE) data for crystalline Zr2Sc4In3C3 at its relaxed geometry, as listed in the Open Quantum Materials Database.

Summary:
ρ: 5.5 g/cm3
size of the total moment: 0.0 μB per formula unit
total DFT energy (no corrections): -7.1153 eV per atom

Unit cell a=5.8064 b=5.8064 c=15.6682 alpha=100.74 beta=100.74 gamma=60.03
Last column: nearest neighbours and their distance in Å.
Fractional coordinates of all 24 atoms:
1 Zr 0.0265 0.8559 0.5800  3 C 2.26-2.27
2 Zr 0.1441 0.9735 0.9200  3 C 2.26-2.27
3 Zr 0.8559 0.0265 0.0800  3 C 2.26-2.27
4 Zr 0.9735 0.1441 0.4200  3 C 2.26-2.27
5 Sc 0.1937 0.3649 0.0815  3 C 2.31-2.32
6 Sc 0.3105 0.4685 0.4186  3 C 2.31-2.32
7 Sc 0.3649 0.1937 0.5815  3 C 2.31-2.32
8 Sc 0.4685 0.3105 0.9186  3 C 2.31-2.32
9 Sc 0.5315 0.6895 0.0814  3 C 2.31-2.32
10 Sc 0.6351 0.8063 0.4185  3 C 2.31-2.32
11 Sc 0.6895 0.5315 0.5814  3 C 2.31-2.32
12 Sc 0.8063 0.6351 0.9185  3 C 2.31-2.32
13 In 0.0807 0.2462 0.7496  4 Sc 3.22-3.25, 2 Zr 3.22-3.23, 6 In 3.29-3.38
14 In 0.2462 0.0807 0.2496  4 Sc 3.22-3.25, 2 Zr 3.22-3.23, 6 In 3.29-3.38
15 In 0.4092 0.5908 0.7500  2 Zr 3.21, 4 Sc 3.23, 6 In 3.30-3.38
16 In 0.5908 0.4092 0.2500  2 Zr 3.21, 4 Sc 3.23, 6 In 3.30-3.38
17 In 0.7538 0.9193 0.7504  4 Sc 3.22-3.25, 2 Zr 3.22-3.23, 6 In 3.29-3.38
18 In 0.9193 0.7538 0.2504  4 Sc 3.22-3.25, 2 Zr 3.22-3.23, 6 In 3.29-3.38
19 C 0.0000 0.5000 0.5000  2 Zr 2.27, 4 Sc 2.31
20 C 0.1612 0.6775 0.0000  2 Zr 2.26, 4 Sc 2.31-2.32
21 C 0.3225 0.8388 0.5000  2 Zr 2.26, 4 Sc 2.31-2.32
22 C 0.5000 0.0000 0.0000  2 Zr 2.27, 4 Sc 2.31
23 C 0.6775 0.1612 0.5000  2 Zr 2.26, 4 Sc 2.31-2.32
24 C 0.8388 0.3225 0.0000  2 Zr 2.26, 4 Sc 2.31-2.32

2.
First-principles (PBE) data for crystalline Zr4Sc2In3C3 at its relaxed geometry, as listed in the Open Quantum Materials Database.

Summary:
ρ: 6.2 g/cm3
size of the total moment: 0.0 μB per formula unit
total DFT energy (no corrections): -7.5378 eV per atom

Unit cell a=5.8199 b=5.8199 c=15.5819 alpha=100.79 beta=100.79 gamma=60.04
Last column: nearest neighbours and their distance in Å.
Fractional coordinates of all 24 atoms:
1 Zr 0.0234 0.1974 0.0813  3 C 2.29
2 Zr 0.1431 0.3061 0.4187  3 C 2.29
3 Zr 0.1974 0.0234 0.5813  3 C 2.29
4 Zr 0.3061 0.1431 0.9187  3 C 2.29
5 Zr 0.6939 0.8569 0.0813  3 C 2.29
6 Zr 0.8026 0.9766 0.4187  3 C 2.29
7 Zr 0.8569 0.6939 0.5813  3 C 2.29
8 Zr 0.9766 0.8026 0.9187  3 C 2.29
9 Sc 0.3644 0.5276 0.0820  3 C 2.32
10 Sc 0.4724 0.6357 0.4180  3 C 2.32
11 Sc 0.5276 0.3644 0.5820  3 C 2.32
12 Sc 0.6357 0.4724 0.9180  3 C 2.32
13 In 0.0777 0.9223 0.2500  4 Zr 3.21-3.22, 2 Sc 3.24, 6 In 3.33-3.42
14 In 0.2444 0.4164 0.7490  4 Zr 3.20-3.21, 2 Sc 3.22, 6 In 3.33-3.42
15 In 0.4164 0.2444 0.2490  4 Zr 3.20-3.21, 2 Sc 3.22, 6 In 3.33-3.42
16 In 0.5836 0.7556 0.7510  4 Zr 3.20-3.21, 2 Sc 3.22, 6 In 3.33-3.42
17 In 0.7556 0.5836 0.2510  4 Zr 3.20-3.21, 2 Sc 3.22, 6 In 3.33-3.42
18 In 0.9223 0.0777 0.7500  4 Zr 3.21-3.22, 2 Sc 3.24, 6 In 3.33-3.42
19 C 0.0000 0.5000 0.0000  4 Zr 2.29, 2 Sc 2.32
20 C 0.1599 0.6700 0.5000  4 Zr 2.29, 2 Sc 2.32
21 C 0.3300 0.8401 0.0000  4 Zr 2.29, 2 Sc 2.32
22 C 0.5000 0.0000 0.5000  4 Zr 2.29, 2 Sc 2.32
23 C 0.6700 0.1599 0.0000  4 Zr 2.29, 2 Sc 2.32
24 C 0.8401 0.3300 0.5000  4 Zr 2.29, 2 Sc 2.32

3.
First-principles (PBE) data for crystalline InSiW4C2 at its relaxed geometry, as listed in the Open Quantum Materials Database.

Summary:
ρ: 13.4 g/cm3
size of the total moment: 0.0 μB per formula unit
total DFT energy (no corrections): -9.6573 eV per atom

Unit cell a=3.1403 b=3.1403 c=13.0973 alpha=90.00 beta=90.00 gamma=120.00
Last column: nearest neighbours and their distance in Å.
Fractional coordinates of all 8 atoms:
1 In 0.0000 0.0000 0.0000  6 W 3.01, 6 In 3.14
2 Si 0.3333 0.6667 0.5000  6 W 2.60
3 W 0.0000 0.0000 0.3580  3 C 2.18
4 W 0.0000 0.0000 0.6420  3 C 2.18
5 W 0.3333 0.6667 0.1830  3 C 2.11
6 W 0.3333 0.6667 0.8170  3 C 2.11
7 C 0.6667 0.3333 0.2660  6 W 2.11-2.18
8 C 0.6667 0.3333 0.7340  6 W 2.11-2.18

4.
First-principles (PBE) data for crystalline Sm3InC at its relaxed geometry, as listed in the Open Quantum Materials Database.

Summary:
ρ: 7.4 g/cm3
offset from the most stable computed form: 0 meV/atom
size of the total moment: 0.0 μB per formula unit
total DFT energy (no corrections): -5.6080 eV per atom

Unit cell a=5.0551 b=5.0551 c=5.0551 alpha=90.00 beta=90.00 gamma=90.00
Last column: nearest neighbours and their distance in Å.
Fractional coordinates of all 5 atoms:
1 Sm 0.0000 0.0000 0.5000  2 C 2.53
2 Sm 0.0000 0.5000 0.0000  2 C 2.53
3 Sm 0.5000 0.0000 0.0000  2 C 2.53
4 In 0.5000 0.5000 0.5000  12 Sm 3.57
5 C 0.0000 0.0000 0.0000  6 Sm 2.53

5.
First-principles (PBE) data for crystalline Ta4InSnC2 at its relaxed geometry, as listed in the Open Quantum Materials Database.

Summary:
ρ: 12.9 g/cm3
size of the total moment: 0.0 μB per formula unit
total DFT energy (no corrections): -9.4317 eV per atom

Unit cell a=3.2076 b=3.2076 c=14.1870 alpha=90.00 beta=90.00 gamma=120.00
Last column: nearest neighbours and their distance in Å.
Fractional coordinates of all 8 atoms:
1 Ta 0.0000 0.0000 0.1647  3 C 2.20
2 Ta 0.0000 0.0000 0.8353  3 C 2.20
3 Ta 0.3333 0.6667 0.3313  3 C 2.19
4 Ta 0.3333 0.6667 0.6687  3 C 2.19
5 In 0.0000 0.0000 0.5000  6 Ta 3.03, 6 In 3.21
6 Sn 0.3333 0.6667 0.0000  6 Ta 2.98, 6 Sn 3.21
7 C 0.6667 0.3333 0.2485  6 Ta 2.19-2.20
8 C 0.6667 0.3333 0.7515  6 Ta 2.19-2.20

6.
First-principles (PBE) data for crystalline InSnW4C2 at its relaxed geometry, as listed in the Open Quantum Materials Database.

Summary:
ρ: 13.8 g/cm3
size of the total moment: 0.0 μB per formula unit
total DFT energy (no corrections): -9.3590 eV per atom

Unit cell a=3.1660 b=3.1660 c=13.8077 alpha=90.00 beta=90.00 gamma=120.00
Last column: nearest neighbours and their distance in Å.
Fractional coordinates of all 8 atoms:
1 In 0.0000 0.0000 0.0000  6 W 2.99, 6 In 3.17
2 Sn 0.3333 0.6667 0.5000  6 W 2.95, 6 Sn 3.17
3 W 0.0000 0.0000 0.3325  3 C 2.14
4 W 0.0000 0.0000 0.6675  3 C 2.14
5 W 0.3333 0.6667 0.1710  3 C 2.14
6 W 0.3333 0.6667 0.8290  3 C 2.14
7 C 0.6667 0.3333 0.2518  6 W 2.14
8 C 0.6667 0.3333 0.7482  6 W 2.14

7.
First-principles (PBE) data for crystalline Zr4InSnC2 at its relaxed geometry, as listed in the Open Quantum Materials Database.

Summary:
ρ: 7.0 g/cm3
size of the total moment: 0.0 μB per formula unit
total DFT energy (no corrections): -8.1648 eV per atom

Unit cell a=3.3816 b=3.3816 c=14.8719 alpha=90.00 beta=90.00 gamma=120.00
Last column: nearest neighbours and their distance in Å.
Fractional coordinates of all 8 atoms:
1 Zr 0.0000 0.0000 0.1641  3 C 2.32
2 Zr 0.0000 0.0000 0.8359  3 C 2.32
3 Zr 0.6667 0.3333 0.3312  3 C 2.31
4 Zr 0.6667 0.3333 0.6688  3 C 2.31
5 In 0.0000 0.0000 0.5000  6 Zr 3.18, 6 In 3.38
6 Sn 0.6667 0.3333 0.0000  6 Zr 3.12, 6 Sn 3.38
7 C 0.3333 0.6667 0.2484  6 Zr 2.31-2.32
8 C 0.3333 0.6667 0.7516  6 Zr 2.31-2.32

8.
First-principles (PBE) data for crystalline Ta2InC at its relaxed geometry, as listed in the Open Quantum Materials Database.

Summary:
ρ: 12.9 g/cm3
size of the total moment: 0.0 μB per formula unit
total DFT energy (no corrections): -9.2974 eV per atom

Unit cell a=3.1711 b=3.1711 c=14.4906 alpha=90.00 beta=90.00 gamma=120.00
Last column: nearest neighbours and their distance in Å.
Fractional coordinates of all 8 atoms:
1 Ta 0.3333 0.6667 0.0830  3 C 2.19
2 Ta 0.3333 0.6667 0.4170  3 C 2.19
3 Ta 0.6667 0.3333 0.5830  3 C 2.19
4 Ta 0.6667 0.3333 0.9170  3 C 2.19
5 In 0.3333 0.6667 0.7500  6 Ta 3.03, 6 In 3.17
6 In 0.6667 0.3333 0.2500  6 Ta 3.03, 6 In 3.17
7 C 0.0000 0.0000 0.0000  6 Ta 2.19
8 C 0.0000 0.0000 0.5000  6 Ta 2.19

9.
First-principles (PBE) data for crystalline Ta2InC at its relaxed geometry, as listed in the Open Quantum Materials Database.

Summary:
ρ: 12.9 g/cm3
size of the total moment: 0.0 μB per formula unit
total DFT energy (no corrections): -9.2975 eV per atom

Unit cell a=3.1694 b=3.1694 c=14.5031 alpha=90.00 beta=90.00 gamma=120.00
Last column: nearest neighbours and their distance in Å.
Fractional coordinates of all 8 atoms:
1 Ta 0.3333 0.6667 0.0830  3 C 2.19
2 Ta 0.3333 0.6667 0.4170  3 C 2.19
3 Ta 0.6667 0.3333 0.5830  3 C 2.19
4 Ta 0.6667 0.3333 0.9170  3 C 2.19
5 In 0.3333 0.6667 0.7500  6 Ta 3.04, 6 In 3.17
6 In 0.6667 0.3333 0.2500  6 Ta 3.04, 6 In 3.17
7 C 0.0000 0.0000 0.0000  6 Ta 2.19
8 C 0.0000 0.0000 0.5000  6 Ta 2.19

10.
First-principles (PBE) data for crystalline TaIn2C at its relaxed geometry, as listed in the Open Quantum Materials Database.

Summary:
ρ: 10.1 g/cm3
size of the total moment: 0.0 μB per formula unit
total DFT energy (no corrections): -5.6415 eV per atom

Unit cell a=3.2000 b=3.2000 c=15.6251 alpha=90.00 beta=90.00 gamma=120.00
Last column: nearest neighbours and their distance in Å.
Fractional coordinates of all 8 atoms:
1 Ta 0.3333 0.6667 0.2500  6 In 3.04, 6 Ta 3.20
2 Ta 0.6667 0.3333 0.7500  6 In 3.04, 6 Ta 3.20
3 In 0.3333 0.6667 0.5952  3 C 2.37
4 In 0.3333 0.6667 0.9048  3 C 2.37
5 In 0.6667 0.3333 0.0952  3 C 2.37
6 In 0.6667 0.3333 0.4048  3 C 2.37
7 C 0.0000 0.0000 0.0000  6 In 2.37
8 C 0.0000 0.0000 0.5000  6 In 2.37

11.
First-principles (PBE) data for crystalline Ta3InC at its relaxed geometry, as listed in the Open Quantum Materials Database.

Summary:
ρ: 13.5 g/cm3
size of the total moment: 0.1 μB per formula unit
total DFT energy (no corrections): -9.4999 eV per atom

Unit cell a=4.3501 b=4.3501 c=4.3501 alpha=90.00 beta=90.00 gamma=90.00
Last column: nearest neighbours and their distance in Å.
Fractional coordinates of all 5 atoms:
1 Ta 0.0000 0.0000 0.5000  2 C 2.18
2 Ta 0.0000 0.5000 0.0000  2 C 2.18
3 Ta 0.5000 0.0000 0.0000  2 C 2.18
4 In 0.5000 0.5000 0.5000  12 Ta 3.08
5 C 0.0000 0.0000 0.0000  6 Ta 2.18

12.
First-principles (PBE) data for crystalline Ta4TlInC2 at its relaxed geometry, as listed in the Open Quantum Materials Database.

Summary:
ρ: 13.9 g/cm3
size of the total moment: 0.0 μB per formula unit
total DFT energy (no corrections): -9.1701 eV per atom

Unit cell a=3.1869 b=3.1869 c=14.5148 alpha=90.00 beta=90.00 gamma=120.00
Last column: nearest neighbours and their distance in Å.
Fractional coordinates of all 8 atoms:
1 Ta 0.0000 0.0000 0.1670  3 C 2.19
2 Ta 0.0000 0.0000 0.8330  3 C 2.19
3 Ta 0.6667 0.3333 0.3311  3 C 2.19
4 Ta 0.6667 0.3333 0.6689  3 C 2.19
5 Tl 0.0000 0.0000 0.5000  6 Ta 3.06, 6 Tl 3.19
6 In 0.6667 0.3333 0.0000  6 Ta 3.04, 6 In 3.19
7 C 0.3333 0.6667 0.2495  6 Ta 2.19
8 C 0.3333 0.6667 0.7505  6 Ta 2.19